The following is a PBE with a Hubbard U calculation of an optimized crystal structure of Co2AgIrO8, from Alexandria.

Unit cell a=4.5290 b=4.5237 c=6.3886 alpha=90.00 beta=90.00 gamma=90.62
Atoms (fractional coordinates):
Co  0.5000  0.5000  0.7456
Co  0.5000  0.5000  0.2544
Ag  0.0000  0.0000  0.5000
Ir  0.0000  0.0000  0.0000
O  0.2044  0.7945  0.2245
O  0.7029  0.7037  0.0000
O  0.7956  0.2055  0.2245
O  0.7956  0.2055  0.7755
O  0.2971  0.2963  0.0000
O  0.2044  0.7945  0.7755
O  0.6829  0.6833  0.5000
O  0.3171  0.3167  0.5000

Calculated values
Final energy = -5.628 eV per atom
Space-group type = No. 65
Volume = 131 Å³/cell
DOS(E_F) = 6.1 states/eV per cell
Magnetic moment = 6.24 μB per formula unit